# Pr8Ag3Sb2 (PBE, optimized geometry)
data_Pr8Ag3Sb2
_cell_length_a 15.5184
_cell_length_b 8.6301
_cell_length_c 6.3136
_cell_angle_alpha 90.00
_cell_angle_beta 91.82
_cell_angle_gamma 90.00
_symmetry_space_group_name_H-M 'C 1 2/m 1'
_symmetry_Int_Tables_number 12
loop_
_symmetry_equiv_pos_as_xyz
'x,y,z'
'-x,-y,-z'
'-x,y,-z'
'x,-y,z'
'x+1/2,y+1/2,z'
'-x+1/2,-y+1/2,-z'
'-x+1/2,y+1/2,-z'
'x+1/2,-y+1/2,z'
loop_
_atom_site_label
_atom_site_type_symbol
_atom_site_fract_x
_atom_site_fract_y
_atom_site_fract_z
Pr1 Pr 0.0883 0.0000 0.3639
Pr2 Pr 0.1146 0.2140 0.8669
Pr3 Pr 0.1796 0.5000 0.3899
Ag1 Ag 0.0000 0.3349 0.5000
Ag2 Ag 0.0000 0.5000 0.0000
Sb1 Sb 0.2405 0.5000 0.8990
# total moment = 0.00 μB/f.u.
# V = 845.12 Å³/cell
# E = -4.53 eV per atom
# ΔE_f (raw) = -0.298 eV per atom

=====

# PrAg4Sb (PBE, optimized geometry)
data_PrAg4Sb
_cell_length_a 8.0889
_cell_length_b 8.0889
_cell_length_c 8.0889
_cell_angle_alpha 90.00
_cell_angle_beta 90.00
_cell_angle_gamma 90.00
_symmetry_space_group_name_H-M 'F -4 3 m'
_symmetry_Int_Tables_number 216
_symmetry_space_group_name_Hall 'F -4 2 3'
loop_
_atom_site_label
_atom_site_type_symbol
_atom_site_fract_x
_atom_site_fract_y
_atom_site_fract_z
Pr1 Pr 0.0000 0.0000 0.0000
Ag1 Ag 0.1250 0.1250 0.6250
Sb1 Sb 0.2500 0.2500 0.2500
# total moment = 0.00 μB/f.u.
# V = 529.25 Å³/cell
# E = -3.58 eV per atom
# ΔE_f (raw) = -0.196 eV per atom